[1]
Computed, not measured: Sc3Os after structural relaxation at the PBE level of DFT.

Cell and atoms, written as extended XYZ:
```
4
Lattice="5.096 0.000 0.000 0.000 5.096 0.000 0.000 0.000 5.096" Properties=species:S:1:pos:R:3 pbc="T T T"
Sc 0.000 0.000 2.548
Os 0.000 0.000 0.000
Sc 2.548 0.000 0.000
Sc 0.000 2.548 0.000
```


[2]
Computed, not measured: Sc4Os5 after structural relaxation at the PBE level of DFT.

Cell and atoms, written as extended XYZ:
```
18
Lattice="-2.728 -7.596 0.035 0.391 -4.398 6.757 -4.829 1.741 1.412" Properties=species:S:1:pos:R:3 pbc="T T T"
Os -3.350 -1.757 5.765
Sc -4.402 -4.293 5.292
Os -1.764 -4.934 5.069
Sc 0.000 0.000 0.000
Sc -2.232 -2.417 0.366
Sc -2.415 0.870 0.706
Os -3.973 -7.126 5.234
Os -1.558 -7.996 4.528
Os -3.194 -3.128 2.970
Os -3.107 -4.855 0.377
Os -0.779 -3.998 2.264
Os -5.403 -5.319 3.135
Sc -2.764 -5.960 2.912
Os -1.089 -0.900 2.405
Sc -5.326 -3.438 1.081
Sc -3.475 -0.346 3.597
Sc -0.963 -2.311 4.573
Os -4.450 -1.001 1.070
```


[3]
Computed, not measured: ScOs2 after structural relaxation at the PBE level of DFT.

Cell and atoms, written as extended XYZ:
```
3
Lattice="4.273 -2.428 -1.249 3.409 -1.623 3.386 -4.823 -0.098 -1.562" Properties=species:S:1:pos:R:3 pbc="T T T"
Sc 0.000 0.000 0.000
Os 5.284 -2.786 1.469
Os 2.398 -1.264 0.667
```


[4]
Computed, not measured: Sc3Os4 after structural relaxation at the PBE level of DFT.

Cell and atoms, written as extended XYZ:
```
7
Lattice="-0.169 1.619 5.053 -4.496 -1.208 -2.552 0.390 -4.578 1.480" Properties=species:S:1:pos:R:3 pbc="T T T"
Os 0.292 -3.427 1.108
Os -2.858 -2.555 0.723
Sc -2.332 0.206 1.251
Os -1.416 -1.612 3.258
Sc -2.248 -0.604 -1.276
Os 0.098 -1.151 0.372
Sc -0.084 0.809 2.526
```


[5]
Computed, not measured: ScOs2 after structural relaxation at the PBE level of DFT.

Cell and atoms, written as extended XYZ:
```
6
Lattice="3.412 -3.378 -1.794 0.748 2.425 4.453 -4.206 -2.812 0.818" Properties=species:S:1:pos:R:3 pbc="T T T"
Sc 3.120 -0.715 1.994
Sc 1.040 -0.238 0.665
Os -1.368 -0.980 1.788
Os -0.974 -3.987 0.095
Os 0.928 0.222 3.383
Os 1.322 -2.784 1.689
```


[6]
Computed, not measured: ScOs5 after structural relaxation at the PBE level of DFT.

Cell and atoms, written as extended XYZ:
```
6
Lattice="-3.451 3.721 0.652 0.837 -1.924 -4.667 -3.165 -3.057 0.693" Properties=species:S:1:pos:R:3 pbc="T T T"
Os -2.889 -0.630 -1.661
Os -1.164 -2.491 -1.987
Os -3.308 0.332 0.672
Os -0.592 -0.043 -2.894
Os -2.022 1.839 -1.121
Sc 0.000 0.000 0.000
```


no.,E_form (eV/f.u.)
1,1.13
2,0.53
3,0.11
4,3.47
5,2.14
6,1.96